1.
Ce6NdS8 | PBE | relaxed

Unit cell a=8.050 b=8.050 c=8.050 alpha=60.00 beta=60.00 gamma=60.00
Fractional positions:
Ce 0.000 0.000 0.500
Ce 0.000 0.500 0.000
Ce 0.000 0.500 0.500
Ce 0.500 0.000 0.000
Ce 0.500 0.000 0.500
Ce 0.500 0.500 0.000
Nd 0.000 0.000 0.000
S 0.250 0.250 0.250
S 0.251 0.251 0.749
S 0.251 0.749 0.251
S 0.251 0.749 0.749
S 0.749 0.251 0.251
S 0.749 0.251 0.749
S 0.749 0.749 0.251
S 0.750 0.750 0.750

Summary:
E_form (uncorrected) = -2021 meV per atom
Magnetization = 5.3 Bohr magnetons per cell
E_tot = -6.91 eV/atom
Space-group type = Fm-3m

2.
CeNdS2 | PBE | relaxed

Unit cell a=7.051 b=7.051 c=7.051 alpha=33.30 beta=33.30 gamma=33.30
Fractional positions:
Ce 0.000 0.000 0.000
Nd 0.500 0.500 0.500
S 0.251 0.251 0.251
S 0.749 0.749 0.749

Summary:
E_form (uncorrected) = -2041 meV per atom
Magnetization = 0.9 Bohr magnetons per cell
E_tot = -6.78 eV/atom
Space-group type = R-3m
Excess energy over the best structure of this formula in the dataset = 0.0000 eV/atom

3.
Ce2Nd2S7 | PBE | relaxed

Unit cell a=8.557 b=8.557 c=8.557 alpha=152.73 beta=68.51 gamma=118.52
Fractional positions:
Ce 0.240 0.000 0.240
Ce 0.760 0.000 0.760
Nd 0.292 0.792 0.500
Nd 0.747 0.747 0.000
S 0.003 0.692 0.311
S 0.068 0.068 0.000
S 0.357 0.471 0.886
S 0.380 0.692 0.689
S 0.586 0.471 0.114
S 0.663 0.304 0.358
S 0.946 0.304 0.642

Summary:
E_form (uncorrected) = -1869 meV per atom
Magnetization = 0.3 Bohr magnetons per cell
E_tot = -6.44 eV/atom
Space-group type = Imm2

4.
Ce5Nd3S8 | PBE | relaxed

Unit cell a=8.086 b=8.086 c=8.086 alpha=59.95 beta=59.95 gamma=59.95
Fractional positions:
Ce 0.000 0.000 0.000
Ce 0.000 0.500 0.500
Ce 0.500 0.000 0.500
Ce 0.500 0.500 0.000
Ce 0.500 0.500 0.500
Nd 0.000 0.000 0.500
Nd 0.000 0.500 0.000
Nd 0.500 0.000 0.000
S 0.250 0.250 0.748
S 0.250 0.748 0.250
S 0.251 0.251 0.251
S 0.252 0.750 0.750
S 0.748 0.250 0.250
S 0.749 0.749 0.749
S 0.750 0.252 0.750
S 0.750 0.750 0.252

Summary:
E_form (uncorrected) = -2041 meV per atom
Magnetization = 3.4 Bohr magnetons per cell
E_tot = -6.85 eV/atom
Space-group type = R-3m

| no. | density of states at the Fermi level (states/eV per cell) | volume (Å³ per cell) |
| --- | --- | --- |
| 1 | 32.59 | 368.8 |
| 2 | 5.69 | 94.0 |
| 3 | 3.33 | 249.7 |
| 4 | 26.69 | 373.4 |